Entry 1:
First-principles (PBE) data for crystalline Zr3Ge at its relaxed geometry, as listed in the Alexandria database.

The structure in CIF format:
```
data_Zr3Ge
_chemical_formula_sum 'Zr3 Ge1'
_space_group_name_H-M_alt 'P m -3 m'
_space_group_IT_number 221
_space_group_name_Hall '-P 4 2 3'
_cell_length_a 4.347
_cell_length_b 4.347
_cell_length_c 4.347
_cell_angle_alpha 90.00
_cell_angle_beta 90.00
_cell_angle_gamma 90.00
loop_
_atom_site_label
_atom_site_fract_x
_atom_site_fract_y
_atom_site_fract_z
_atom_site_occupancy
Zr1 0.000 0.000 0.500 1
Ge1 0.500 0.500 0.500 1
```

* total magnetic moment: 0.0 μB/cell
* electronic total energy: -7.938 eV/atom
* formation enthalpy at 0 K: -0.372 eV/atom

=====

Entry 2:
First-principles (PBE) data for crystalline MnOs3 at its relaxed geometry, as listed in the Alexandria database.

The structure in CIF format:
```
data_MnOs3
_chemical_formula_sum 'Mn2 Os6'
_space_group_name_H-M_alt 'P m m n'
_space_group_IT_number 59
_cell_length_a 4.267
_cell_length_b 5.410
_cell_length_c 4.690
_cell_angle_alpha 90.00
_cell_angle_beta 90.00
_cell_angle_gamma 90.00
loop_
_space_group_symop_operation_xyz
'x,y,z'
'-x,-y,-z'
'-x+1/2,-y+1/2,z'
'x+1/2,y+1/2,-z'
'x+1/2,-y,-z'
'-x+1/2,y,z'
'-x,y+1/2,-z'
'x,-y+1/2,z'
loop_
_atom_site_label
_atom_site_fract_x
_atom_site_fract_y
_atom_site_fract_z
_atom_site_occupancy
Mn1 0.250 0.250 0.162 1
Os1 0.250 0.502 0.671 1
Os2 0.250 0.750 0.160 1
```

* total magnetic moment: 0.9 μB/cell
* electronic total energy: -10.735 eV/atom
* formation enthalpy at 0 K: -0.020 eV/atom

=====

Entry 3:
First-principles (PBE) data for crystalline PrTm2AgHg4 at its relaxed geometry, as listed in the Alexandria database.

The structure in CIF format:
```
data_PrTm2AgHg4
_chemical_formula_sum 'Pr3 Tm6 Ag3 Hg12'
_space_group_name_H-M_alt 'R -3 m'
_space_group_IT_number 166
_space_group_name_Hall '-R 3 2"'
_cell_length_a 5.0472
_cell_length_b 5.0472
_cell_length_c 27.1120
_cell_angle_alpha 90.00
_cell_angle_beta 90.00
_cell_angle_gamma 120.00
loop_
_atom_site_label
_atom_site_fract_x
_atom_site_fract_y
_atom_site_fract_z
_atom_site_occupancy
Pr1 0.0000 0.0000 0.0000 1
Tm1 0.0000 0.0000 0.2386 1
Ag1 0.0000 0.0000 0.5000 1
Hg1 0.0000 0.0000 0.1257 1
Hg2 0.0000 0.0000 0.3833 1
```

* total magnetic moment: 0.0 μB/cell
* electronic total energy: -2.586 eV/atom
* formation enthalpy at 0 K: -0.363 eV/atom

=====

Entry 4:
First-principles (PBE) data for crystalline SrPIr3 at its relaxed geometry, as listed in the Alexandria database.

The structure in CIF format:
```
data_SrPIr3
_chemical_formula_sum 'Sr1 P1 Ir3'
_space_group_name_H-M_alt 'P m -3 m'
_space_group_IT_number 221
_space_group_name_Hall '-P 4 2 3'
_cell_length_a 4.954
_cell_length_b 4.954
_cell_length_c 4.954
_cell_angle_alpha 90.00
_cell_angle_beta 90.00
_cell_angle_gamma 90.00
loop_
_atom_site_label
_atom_site_fract_x
_atom_site_fract_y
_atom_site_fract_z
_atom_site_occupancy
Sr1 0.000 0.000 0.000 1
P1 0.500 0.500 0.500 1
Ir1 0.000 0.000 0.500 1
```

* total magnetic moment: 1.4 μB/cell
* electronic total energy: -3.719 eV/atom
* formation enthalpy at 0 K: 3.016 eV/atom
* offset from the most stable computed form: 3.059 eV/atom